First-principles (PBE-GGA) data for crystalline Pm2CdBPd6 at its relaxed geometry, as listed in the Alexandria database.

Results
* formation enthalpy at 0 K: -0.630 eV per atom
* uncorrected energy: -5.45 eV per atom

Cell: 5.7954 5.7954 6.4743 Å, 90.00 90.00 120.00°
Space group P-3m1 (No. 164)
One atom of each set of equivalent atoms:
Pm1 0.3333 0.6667 0.1890 (multiplicity 2)
Cd1 0.0000 0.0000 0.0000 (multiplicity 1)
B1 0.0000 0.0000 0.5000 (multiplicity 1)
Pd1 0.1768 0.3537 0.6799 (multiplicity 6)

First-principles (PBE-GGA) data for crystalline TaCuTeN2 at its relaxed geometry, as listed in the Alexandria database.

Results
* excess energy over the best structure of this formula in the dataset: 1375 meV/atom
* uncorrected formation energy: 1.714 eV/atom
* uncorrected energy: -5.43 eV per atom

Cell: 3.9283 3.9283 5.0071 Å, 90.00 90.00 90.00°
Space group P4/mmm (No. 123)
One atom of each set of equivalent atoms:
Ta1 0.0000 0.0000 0.0000 (multiplicity 1)
Cu1 0.5000 0.5000 0.5000 (multiplicity 1)
Te1 0.5000 0.5000 0.0000 (multiplicity 1)
N1 0.0000 0.5000 0.5000 (multiplicity 2)

First-principles (PBE-GGA) data for crystalline KCd2Ag3 at its relaxed geometry, as listed in the Alexandria database.

Results
* formation enthalpy at 0 K: -0.046 eV per atom
* uncorrected energy: -1.96 eV per atom

Cell: 11.3437 9.4515 5.8558 Å, 90.00 90.00 90.00°
Space group Cmcm (No. 63)
One atom of each set of equivalent atoms:
K1 0.0000 0.1809 0.2500 (multiplicity 4)
Cd1 0.2138 0.5000 0.0000 (multiplicity 8)
Ag1 0.0000 0.4237 0.7500 (multiplicity 4)
Ag2 0.2004 0.2373 0.7500 (multiplicity 8)

First-principles (PBE-GGA) data for crystalline BaGa2W at its relaxed geometry, as listed in the Alexandria database.

Results
* excess energy over the best structure of this formula in the dataset: 189 meV/atom
* formation enthalpy at 0 K: 0.707 eV per atom
* uncorrected energy: -4.53 eV per atom

Cell: 7.1697 7.1697 7.1697 Å, 90.00 90.00 90.00°
Space group Fm-3m (No. 225)
One atom of each set of equivalent atoms:
Ba1 0.0000 0.0000 0.0000 (multiplicity 4)
Ga1 0.2500 0.2500 0.2500 (multiplicity 8)
W1 0.0000 0.0000 0.5000 (multiplicity 4)

First-principles (PBE-GGA) data for crystalline Tb2NbH at its relaxed geometry, as listed in the Alexandria database.

Results
* uncorrected energy: -5.33 eV per atom

Cell: 3.2000 3.2000 26.7778 Å, 90.00 90.00 120.00°
Space group R-3m (No. 166, hexagonal axes)
One atom of each set of equivalent atoms:
Tb1 0.0000 0.0000 0.1103 (multiplicity 6)
Nb1 0.0000 0.0000 0.0000 (multiplicity 3)
H1 0.0000 0.0000 0.5000 (multiplicity 3)

First-principles (PBE-GGA) data for crystalline Nd3Zn4In2 at its relaxed geometry, as listed in the Alexandria database.

Results
* formation enthalpy at 0 K: -0.412 eV per atom
* uncorrected energy: -3.18 eV per atom

Cell: 11.0074 4.7098 8.9956 Å, 90.00 113.20 90.00°
Space group C2/m (No. 12)
One atom of each set of equivalent atoms:
Nd1 0.0000 0.0000 0.0000 (multiplicity 2)
Nd2 0.1637 0.5000 0.6738 (multiplicity 4)
Zn1 0.0711 0.0000 0.4132 (multiplicity 4)
Zn2 0.2150 0.5000 0.0387 (multiplicity 4)
In1 0.1165 0.5000 0.2811 (multiplicity 4)

no.,total magnetization (μB/f.u.)
1,0.0
2,0.4
3,0.0
4,2.5
5,0.0
6,0.0